1.
## BaY2Co (PBE)

Data for a relaxed structure of BaY2Co.

Summary:
D(E_F)   3.73 states/eV per cell
Space-group type   Amm2
Energy relative to the lowest polymorph listed for this composition   84 meV/atom
Energy of formation   101 meV/atom

a = 3.7706 Å, b = 8.7596 Å, c = 8.7596 Å
α = 26.95°, β = 90.00°, γ = 90.00°
Last column: nearest neighbours and their distance in Å.
Fractional coordinates of all 4 atoms:
1 Ba 0.0000 0.0000 0.0000  2 Co 3.45, 2 Ba 3.77, 2 Y 3.79
2 Y 0.0000 0.3125 0.3125  4 Co 2.80
3 Y 0.5000 0.6816 0.6816  1 Co 2.53
4 Co 0.5000 0.8303 0.8303  5 Y 2.53-2.80

2.
## BaYCo2 (PBE)

Data for a relaxed structure of BaYCo2.

Summary:
D(E_F)   4.34 states/eV per cell
Space-group type   Fm-3m
Energy relative to the lowest polymorph listed for this composition   435 meV/atom
Energy of formation   484 meV/atom

a = 5.0257 Å, b = 5.0257 Å, c = 5.0257 Å
α = 60.00°, β = 60.00°, γ = 60.00°
Last column: nearest neighbours and their distance in Å.
Fractional coordinates of all 4 atoms:
1 Ba 0.0000 0.0000 0.0000  8 Co 3.08
2 Y 0.5000 0.5000 0.5000  8 Co 3.08
3 Co 0.2500 0.2500 0.2500  4 Ba 3.08, 4 Y 3.08
4 Co 0.7500 0.7500 0.7500  4 Y 3.08, 4 Ba 3.08

3.
## BaY2Co (PBE)

Data for a relaxed structure of BaY2Co.

Summary:
D(E_F)   13.82 states/eV per cell
Space-group type   I4_1/amd
Energy relative to the lowest polymorph listed for this composition   432 meV/atom
Energy of formation   450 meV/atom

a = 7.9089 Å, b = 7.9089 Å, c = 7.9089 Å
α = 120.09°, β = 120.09°, γ = 89.85°
Last column: nearest neighbours and their distance in Å.
Fractional coordinates of all 8 atoms:
1 Ba 0.3750 0.6250 0.7500  12 Y 4.63-4.64, 4 Co 4.84, 4 Ba 4.84
2 Ba 0.6250 0.3750 0.2500  12 Y 4.63-4.64, 4 Ba 4.84, 4 Co 4.84
3 Y 0.0000 0.0000 0.0000  2 Co 2.42
4 Y 0.0000 0.0000 0.5000  2 Co 2.42
5 Y 0.0000 0.5000 0.0000  2 Co 2.42
6 Y 0.5000 0.0000 0.5000  2 Co 2.42
7 Co 0.1250 0.8750 0.2500  4 Y 2.42
8 Co 0.8750 0.1250 0.7500  4 Y 2.42

4.
## Ba2YCo (PBE)

Data for a relaxed structure of Ba2YCo.

Summary:
D(E_F)   6.33 states/eV per cell
Space-group type   I4/mmm
Energy relative to the lowest polymorph listed for this composition   526 meV/atom
Energy of formation   695 meV/atom

a = 6.6965 Å, b = 6.6965 Å, c = 6.6965 Å
α = 138.37°, β = 138.37°, γ = 60.33°
Last column: nearest neighbours and their distance in Å.
Fractional coordinates of all 4 atoms:
1 Ba 0.2500 0.7500 0.5000  4 Ba 3.37, 4 Co 3.75, 4 Y 3.75
2 Ba 0.7500 0.2500 0.5000  4 Ba 3.37, 4 Co 3.75, 4 Y 3.75
3 Y 0.0000 0.0000 0.0000  4 Co 3.37, 8 Ba 3.75
4 Co 0.5000 0.5000 0.0000  4 Y 3.37, 8 Ba 3.75

5.
## Ba2YCo (PBE)

Data for a relaxed structure of Ba2YCo.

Summary:
D(E_F)   4.47 states/eV per cell
Space-group type   Cm
Energy relative to the lowest polymorph listed for this composition   109 meV/atom
Energy of formation   277 meV/atom

a = 7.0388 Å, b = 7.0388 Å, c = 6.5166 Å
α = 117.50°, β = 117.50°, γ = 31.79°
Last column: nearest neighbours and their distance in Å.
Fractional coordinates of all 4 atoms:
1 Ba 0.0000 0.0000 0.0000  2 Co 3.47, 2 Y 3.79-3.88, 4 Ba 3.84-3.86
2 Ba 0.1720 0.1720 0.6705  2 Co 3.11
3 Y 0.8296 0.8296 0.3221  2 Co 2.57
4 Co 0.4692 0.4692 0.4084  2 Y 2.57

6.
## BaYCo2 (PBE)

Data for a relaxed structure of BaYCo2.

Summary:
D(E_F)   16.10 states/eV per cell
Space-group type   I-42d
Energy relative to the lowest polymorph listed for this composition   686 meV/atom
Energy of formation   736 meV/atom

a = 6.2700 Å, b = 6.2700 Å, c = 6.2700 Å
α = 105.62°, β = 105.62°, γ = 117.48°
Last column: nearest neighbours and their distance in Å.
Fractional coordinates of all 8 atoms:
1 Ba 0.0000 0.0000 0.0000  4 Co 2.91, 2 Y 3.25
2 Ba 0.7500 0.2500 0.5000  4 Co 2.91, 2 Y 3.25
3 Y 0.2500 0.7500 0.5000  4 Co 2.70
4 Y 0.5000 0.5000 0.0000  4 Co 2.70
5 Co 0.1451 0.6250 0.0201  2 Y 2.70, 2 Ba 2.91
6 Co 0.3750 0.3951 0.5201  2 Y 2.70, 2 Ba 2.91
7 Co 0.6049 0.1250 0.9799  2 Y 2.70, 2 Ba 2.91
8 Co 0.8750 0.8549 0.4799  2 Y 2.70, 2 Ba 2.91

7.
## Ba4YCo (PBE)

Data for a relaxed structure of Ba4YCo.

Summary:
D(E_F)   16.64 states/eV per cell
Space-group type   F-43m
Energy of formation   984 meV/atom

a = 7.3062 Å, b = 7.3062 Å, c = 7.3062 Å
α = 60.00°, β = 60.00°, γ = 60.00°
Last column: nearest neighbours and their distance in Å.
Fractional coordinates of all 6 atoms:
1 Ba 0.1246 0.1246 0.1246  6 Ba 3.64-3.66
2 Ba 0.1246 0.1246 0.6261  6 Ba 3.64-3.66
3 Ba 0.1246 0.6261 0.1246  6 Ba 3.64-3.66
4 Ba 0.6261 0.1246 0.1246  6 Ba 3.64-3.66
5 Y 0.5000 0.5000 0.5000  12 Ba 4.28, 4 Co 4.47
6 Co 0.7500 0.7500 0.7500  12 Ba 4.28, 4 Y 4.47

8.
## BaY2Co (PBE)

Data for a relaxed structure of BaY2Co.

Summary:
D(E_F)   4.40 states/eV per cell
Space-group type   R-3m
Energy relative to the lowest polymorph listed for this composition   0 meV/atom
Energy of formation   17 meV/atom

a = 9.8293 Å, b = 9.8293 Å, c = 9.8293 Å
α = 23.62°, β = 23.62°, γ = 23.62°
Last column: nearest neighbours and their distance in Å.
Fractional coordinates of all 4 atoms:
1 Ba 0.0000 0.0000 0.0000  6 Ba 4.02, 6 Y 4.12
2 Y 0.2146 0.2146 0.2146  3 Co 2.70
3 Y 0.7854 0.7854 0.7854  3 Co 2.70
4 Co 0.5000 0.5000 0.5000  6 Y 2.70

9.
## BaYCo2 (PBE)

Data for a relaxed structure of BaYCo2.

Summary:
D(E_F)   4.05 states/eV per cell
Space-group type   Amm2
Energy relative to the lowest polymorph listed for this composition   88 meV/atom
Energy of formation   137 meV/atom

a = 4.0010 Å, b = 6.5707 Å, c = 6.5707 Å
α = 37.61°, β = 90.00°, γ = 90.00°
Last column: nearest neighbours and their distance in Å.
Fractional coordinates of all 4 atoms:
1 Ba 0.0000 0.0000 0.0000  7 Co 3.34-3.64
2 Y 0.5000 0.7334 0.7334  6 Co 2.70-3.00
3 Co 0.0000 0.2924 0.2924  2 Co 2.21
4 Co 0.5000 0.3676 0.3676  2 Co 2.21

10.
## BaY2Co (PBE)

Data for a relaxed structure of BaY2Co.

Summary:
D(E_F)   7.11 states/eV per cell
Space-group type   Pmmm
Energy relative to the lowest polymorph listed for this composition   565 meV/atom
Energy of formation   583 meV/atom

a = 4.1013 Å, b = 5.3156 Å, c = 5.3685 Å
α = 90.00°, β = 90.00°, γ = 90.00°
Last column: nearest neighbours and their distance in Å.
Fractional coordinates of all 4 atoms:
1 Ba 0.0000 0.0000 0.0000  4 Co 3.36, 4 Y 3.38
2 Y 0.0000 0.5000 0.5000  4 Y 3.36, 4 Co 3.38
3 Y 0.5000 0.0000 0.5000  4 Y 3.36, 4 Ba 3.38
4 Co 0.5000 0.5000 0.0000  4 Ba 3.36, 4 Y 3.38

11.
## Ba2YCo (PBE)

Data for a relaxed structure of Ba2YCo.

Summary:
D(E_F)   7.21 states/eV per cell
Space-group type   P4/mmm
Energy relative to the lowest polymorph listed for this composition   530 meV/atom
Energy of formation   698 meV/atom

a = 4.8500 Å, b = 4.8500 Å, c = 5.6883 Å
α = 90.00°, β = 90.00°, γ = 90.00°
Last column: nearest neighbours and their distance in Å.
Fractional coordinates of all 4 atoms:
1 Ba 0.0000 0.5000 0.0000  4 Ba 3.43, 4 Co 3.74, 4 Y 3.74
2 Ba 0.5000 0.0000 0.0000  4 Ba 3.43, 4 Co 3.74, 4 Y 3.74
3 Y 0.0000 0.0000 0.5000  4 Co 3.43, 8 Ba 3.74
4 Co 0.5000 0.5000 0.5000  4 Y 3.43, 8 Ba 3.74

12.
## Ba2YCo (PBE)

Data for a relaxed structure of Ba2YCo.

Summary:
D(E_F)   1.12 states/eV per cell
Space-group type   I-42d
Energy relative to the lowest polymorph listed for this composition   234 meV/atom
Energy of formation   402 meV/atom

a = 8.6012 Å, b = 8.6012 Å, c = 8.6012 Å
α = 95.09°, β = 95.09°, γ = 145.33°
Last column: nearest neighbours and their distance in Å.
Fractional coordinates of all 8 atoms:
1 Ba 0.3750 0.2224 0.3474  2 Co 3.18
2 Ba 0.7776 0.1250 0.1526  2 Co 3.18
3 Ba 0.8750 0.0276 0.6526  2 Co 3.18
4 Ba 0.9724 0.6250 0.8474  2 Co 3.18
5 Y 0.2500 0.7500 0.5000  2 Co 2.56
6 Y 0.5000 0.5000 0.0000  2 Co 2.56
7 Co 0.0000 0.0000 0.0000  2 Y 2.56
8 Co 0.7500 0.2500 0.5000  2 Y 2.56